Record 1
Density functional theory data (GGA-PBE) for TbYAlAg after structural relaxation.

Computed properties:
Space-group type: No. 99
Magnetic moment: 0.00 μB/f.u.
E: -4.790 eV/atom
ΔE_f: -0.368 eV/atom

Unit cell a=3.5634 b=3.5634 c=7.5812 alpha=90.00 beta=90.00 gamma=90.00
Atoms (fractional coordinates):
Tb 0.0000 0.0000 0.8567
Al 0.5000 0.5000 0.6060
Y 0.0000 0.0000 0.3572
Ag 0.5000 0.5000 0.1081

***

Record 2
Density functional theory data (GGA-PBE) for NdTmThZr after structural relaxation.

Computed properties:
Space-group type: No. 216
Magnetic moment: 0.00 μB/f.u.
E: -6.143 eV/atom
ΔE_f: 0.159 eV/atom

Unit cell a=5.5024 b=5.5024 c=5.5024 alpha=60.00 beta=60.00 gamma=60.00
Atoms (fractional coordinates):
Th 0.0000 0.0000 0.0000
Nd 0.5000 0.5000 0.5000
Zr 0.2500 0.2500 0.2500
Tm 0.7500 0.7500 0.7500

***

Record 3
Density functional theory data (GGA-PBE) for Cu3Se2Br2 after structural relaxation.

Computed properties:
Space-group type: No. 12
Magnetic moment: 0.00 μB/f.u.
E: -3.381 eV/atom
Uncorrected formation energy: -152.1 meV/atom

Unit cell a=3.7292 b=5.9399 c=7.1853 alpha=104.66 beta=105.04 gamma=90.00
Atoms (fractional coordinates):
Se 0.0672 0.1763 0.1343
Se 0.9328 0.8237 0.8657
Cu 0.0000 0.5000 0.0000
Cu 0.6780 0.1540 0.3560
Cu 0.3220 0.8460 0.6440
Br 0.3208 0.2805 0.6416
Br 0.6792 0.7195 0.3584

***

Record 4
Density functional theory data (GGA-PBE) for Pa3HSe5 after structural relaxation.

Computed properties:
Space-group type: No. 12
Magnetic moment: 4.03 μB/f.u.
E: -6.466 eV/atom

Unit cell a=7.6292 b=7.6292 c=9.1564 alpha=77.10 beta=77.10 gamma=76.73
Each line ends with the local moment (μB).
Atoms (fractional coordinates):
Se 0.4869 0.4869 0.3344  -0.05
Se 0.2940 0.7060 0.0000  -0.04
Se 0.0061 0.6257 0.6299  -0.04
Se 0.5131 0.5131 0.6656  -0.05
Se 0.7060 0.2940 0.0000  -0.04
Se 0.2417 0.2417 0.9126  -0.04
Se 0.6257 0.0061 0.6299  -0.04
Se 0.3743 0.9939 0.3701  -0.04
Se 0.7583 0.7583 0.0874  -0.04
Se 0.9939 0.3743 0.3701  -0.04
Pa 0.6637 0.6637 0.8396  0.99
Pa 0.0000 0.0000 0.5000  1.41
Pa 0.0000 0.0000 0.0000  1.12
Pa 0.7167 0.7167 0.4154  1.29
Pa 0.3363 0.3363 0.1604  0.99
Pa 0.2833 0.2833 0.5846  1.29
H 0.9255 0.9255 0.2838  -0.01
H 0.0745 0.0745 0.7162  -0.01

***

Record 5
Density functional theory data (GGA-PBE) for CoCu5Pd6 after structural relaxation.

Computed properties:
Space-group type: No. 12
Magnetic moment: 2.93 μB/f.u.
E: -4.962 eV/atom
ΔE_f: -0.067 eV/atom

Unit cell a=4.2684 b=7.3983 c=7.3983 alpha=120.16 beta=106.74 gamma=106.74
Each line ends with the local moment (μB).
Atoms (fractional coordinates):
Cu 0.0000 0.3326 0.6674  0.02
Cu 0.5000 0.8325 0.1675  0.04
Cu 0.5000 0.1675 0.8325  0.04
Cu 0.5000 0.5000 0.5000  0.04
Cu 0.0000 0.6674 0.3326  0.02
Pd 0.7487 0.2488 0.2488  0.13
Pd 0.7509 0.9164 0.5853  0.10
Pd 0.7509 0.5853 0.9164  0.10
Pd 0.2513 0.7512 0.7512  0.13
Pd 0.2491 0.0836 0.4147  0.10
Pd 0.2491 0.4147 0.0836  0.10
Co 0.0000 0.0000 0.0000  2.19

***

Record 6
Density functional theory data (GGA-PBE) for BaNaRh3 after structural relaxation.

Computed properties:
Space-group type: No. 221
Magnetic moment: 0.00 μB/f.u.
E: -4.048 eV/atom
ΔE_f: 1.011 eV/atom

Unit cell a=4.8221 b=4.8221 c=4.8221 alpha=90.00 beta=90.00 gamma=90.00
Atoms (fractional coordinates):
Rh 0.0000 0.5000 0.0000
Rh 0.0000 0.0000 0.5000
Rh 0.5000 0.0000 0.0000
Ba 0.5000 0.5000 0.5000
Na 0.0000 0.0000 0.0000

***

Record 7
Density functional theory data (GGA-PBE) for Pm5Al2Si5 after structural relaxation.

Computed properties:
Space-group type: No. 12
Magnetic moment: 0.00 μB/f.u.
E: -5.469 eV/atom
Uncorrected formation energy: -606.0 meV/atom

Unit cell a=4.1736 b=7.7444 c=11.6407 alpha=128.72 beta=90.00 gamma=105.63
Atoms (fractional coordinates):
Al 0.1447 0.2893 0.7598
Al 0.8553 0.7107 0.2402
Pm 0.3026 0.6053 0.6715
Pm 0.5000 0.0000 0.5000
Pm 0.6042 0.2084 0.9224
Pm 0.3958 0.7916 0.0776
Pm 0.6974 0.3947 0.3285
Si 0.2397 0.4794 0.1755
Si 0.0000 0.0000 0.0000
Si 0.7603 0.5206 0.8245
Si 0.0635 0.1269 0.3574
Si 0.9365 0.8731 0.6426

***

Record 8
Density functional theory data (GGA-PBE) for Pa3Bi5 after structural relaxation.

Computed properties:
Space-group type: No. 123
Magnetic moment: 1.79 μB/f.u.
E: -6.088 eV/atom
ΔE_f: -0.101 eV/atom

Unit cell a=4.0573 b=4.0573 c=14.0402 alpha=90.00 beta=90.00 gamma=90.00
Each line ends with the local moment (μB).
Atoms (fractional coordinates):
Bi 0.5000 0.5000 0.6173  0.00
Bi 0.0000 0.0000 0.2423  -0.01
Bi 0.0000 0.0000 0.0000  -0.04
Bi 0.0000 0.0000 0.7577  -0.01
Bi 0.5000 0.5000 0.3827  0.00
Pa 0.5000 0.5000 0.8697  0.72
Pa 0.5000 0.5000 0.1303  0.72
Pa 0.0000 0.0000 0.5000  0.05

***

Record 9
Density functional theory data (GGA-PBE) for Be3SiB after structural relaxation.

Computed properties:
Space-group type: No. 221
Magnetic moment: 0.00 μB/f.u.
E: -4.168 eV/atom
Uncorrected formation energy: 487.6 meV/atom

Unit cell a=3.7188 b=3.7188 c=3.7188 alpha=90.00 beta=90.00 gamma=90.00
Atoms (fractional coordinates):
Be 0.0000 0.5000 0.0000
Be 0.0000 0.0000 0.5000
Be 0.5000 0.0000 0.0000
Si 0.5000 0.5000 0.5000
B 0.0000 0.0000 0.0000

***

Record 10
Density functional theory data (GGA-PBE) for Cd2PAu after structural relaxation.

Computed properties:
Space-group type: No. 1
Magnetic moment: 0.00 μB/f.u.
E: -2.661 eV/atom
ΔE_f: -0.031 eV/atom

Unit cell a=4.5110 b=6.1747 c=6.8780 alpha=79.29 beta=70.97 gamma=89.94
Atoms (fractional coordinates):
Cd 0.7060 0.5298 0.1937
Cd 0.3758 0.7533 0.8540
Cd 0.7329 0.0370 0.1388
Cd 0.1330 0.2243 0.3411
Au 0.4865 0.2252 0.6370
Au 0.1563 0.7639 0.2935
P 0.9274 0.2832 0.7562
P 0.9619 0.6513 0.6821

***

Record 11
Density functional theory data (GGA-PBE) for FeMoP2 after structural relaxation.

Computed properties:
Space-group type: No. 99
Magnetic moment: 0.00 μB/f.u.
E: -7.532 eV/atom
ΔE_f: -0.004 eV/atom

Unit cell a=2.7282 b=2.7282 c=7.7150 alpha=90.00 beta=90.00 gamma=90.00
Atoms (fractional coordinates):
P 0.0000 0.0000 0.9608
P 0.5000 0.5000 0.3242
Fe 0.0000 0.0000 0.4878
Mo 0.5000 0.5000 0.7272

***

Record 12
Density functional theory data (GGA-PBE) for BaZrIn2 after structural relaxation.

Computed properties:
Space-group type: No. 35
Magnetic moment: 0.00 μB/f.u.
E: -3.909 eV/atom
ΔE_f: 0.078 eV/atom

Unit cell a=3.5883 b=3.5883 c=9.3284 alpha=90.00 beta=90.00 gamma=93.52
Atoms (fractional coordinates):
Zr 0.0000 0.0000 0.4423
Ba 0.5000 0.5000 0.7570
In 0.5000 0.5000 0.2541
In 0.0000 0.0000 0.0466

***

Number 1: N(E_F) 0.711 states/eV/atom. Number 2: N(E_F) 1.336 states/eV/atom. Number 3: N(E_F) 0.386 states/eV/atom. Number 4: N(E_F) 1.081 states/eV/atom. Number 5: N(E_F) 0.835 states/eV/atom. Number 6: N(E_F) 1.462 states/eV/atom. Number 7: N(E_F) 0.456 states/eV/atom. Number 8: N(E_F) 1.493 states/eV/atom. Number 9: N(E_F) 0.350 states/eV/atom. Number 10: N(E_F) 0.332 states/eV/atom. Number 11: N(E_F) 0.734 states/eV/atom. Number 12: N(E_F) 0.827 states/eV/atom.